This record from Alexandria describes La2CeS4 at its PBEsol-relaxed geometry. The functional is meta-GGA SCAN.

Energy relative to the elements, uncorrected ... -2.400 eV/atom
Total moment ... 0.258 μB per atom

Cell lengths 8.5395, 8.5395, 8.5368 Å; angles 90.00, 90.00, 90.00 degrees
Closest atoms and distances in Å follow each position.
Space group I-42d (No. 122)
Inequivalent atoms, fractional coordinates:
La1 0.1237 0.7500 0.1250 x8  8 S 2.90-3.03
Ce1 0.0000 0.0000 0.5000 x4  8 S 2.88-3.00
S1 0.0760 0.6750 0.4544 x16  2 Ce 2.88-3.00, 4 La 2.90-3.03, 1 S 3.18



This record from Alexandria describes TlTeN2F at its PBEsol-relaxed geometry. The functional is meta-GGA SCAN.

Energy relative to the elements, uncorrected ... 0.443 eV/atom
Total moment ... 0.062 μB per atom

Cell lengths 4.0623, 4.0623, 4.6201 Å; angles 90.00, 90.00, 90.00 degrees
Closest atoms and distances in Å follow each position.
Space group P4/mmm (No. 123)
Inequivalent atoms, fractional coordinates:
Tl1 0.0000 0.0000 0.0000 x1  4 F 2.87, 8 N 3.08
Te1 0.5000 0.5000 0.5000 x1  4 N 2.03
N1 0.0000 0.5000 0.5000 x2  2 Te 2.03
F1 0.5000 0.5000 0.0000 x1  2 Te 2.31



This record from Alexandria describes La2IrAu at its PBEsol-relaxed geometry. The functional is meta-GGA SCAN.

Total moment ... 0.000 μB per atom

Cell lengths 7.2318, 7.2318, 7.2318 Å; angles 90.00, 90.00, 90.00 degrees
Closest atoms and distances in Å follow each position.
Space group Fm-3m (No. 225)
Inequivalent atoms, fractional coordinates:
La1 0.2500 0.2500 0.2500 x8  4 Ir 3.13, 4 Au 3.13
Ir1 0.0000 0.0000 0.0000 x4  8 La 3.13
Au1 0.0000 0.0000 0.5000 x4  8 La 3.13



This record from Alexandria describes Ca2Dy3Sb3O14 at its PBEsol-relaxed geometry. The functional is meta-GGA SCAN.

Energy relative to the elements, uncorrected ... -2.810 eV/atom
Total moment ... 0.000 μB per atom

Cell lengths 10.4620, 10.4867, 10.3285 Å; angles 90.00, 90.67, 90.00 degrees
Closest atoms and distances in Å follow each position.
Space group C2/c (No. 15)
Inequivalent atoms, fractional coordinates:
Ca1 0.0000 0.2309 0.2500 x4  6 O 2.32-2.49
Ca2 0.2500 0.2500 0.5000 x4  6 O 2.42-2.70
Dy1 0.0000 0.2685 0.7500 x4  6 O 2.23-2.45
Dy2 0.2472 0.0040 0.7235 x8  6 O 2.19-2.40
Sb1 0.0000 0.0000 0.0000 x4  6 O 1.98-2.03
Sb2 0.0000 0.5000 0.0000 x4  6 O 1.99-2.01
Sb3 0.2500 0.2500 0.0000 x4  6 O 1.96-2.00
O1 0.0861 0.1246 0.6177 x8  1 Sb 1.99
O2 0.0949 0.3809 0.3856 x8  1 Sb 1.99
O3 0.1099 0.4262 0.6417 x8  1 Sb 2.01, 1 Dy 2.19
O4 0.1147 0.0727 0.3678 x8  1 Sb 1.98, 1 Dy 2.20
O5 0.1185 0.3689 0.9292 x8  2 Sb 1.99-2.00
O6 0.1258 0.1268 0.0769 x8  2 Sb 2.00-2.03
O7 0.2325 0.1891 0.8217 x8  1 Sb 1.96



This record from Alexandria describes Zn2CdAu at its PBEsol-relaxed geometry. The functional is meta-GGA SCAN.

Energy relative to the lowest polymorph listed for this composition ... 1.9 meV per atom
Total moment ... 0.000 μB per atom

Cell lengths 4.1199, 4.1199, 7.5627 Å; angles 90.00, 90.00, 90.00 degrees
Closest atoms and distances in Å follow each position.
Space group I4/mmm (No. 139)
Inequivalent atoms, fractional coordinates:
Zn1 0.0000 0.5000 0.2500 x4  4 Cd 2.80, 4 Au 2.80, 4 Zn 2.91
Cd1 0.0000 0.0000 0.0000 x2  8 Zn 2.80, 4 Au 2.91
Au1 0.0000 0.0000 0.5000 x2  8 Zn 2.80, 4 Cd 2.91



This record from Alexandria describes CuSiTc2 at its PBEsol-relaxed geometry. The functional is meta-GGA SCAN.

Energy relative to the elements, uncorrected ... -0.138 eV/atom
Total moment ... 0.000 μB per atom

Cell lengths 2.9550, 4.1458, 8.2783 Å; angles 90.00, 90.00, 90.00 degrees
Closest atoms and distances in Å follow each position.
Space group Imm2 (No. 44)
Inequivalent atoms, fractional coordinates:
Cu1 0.0000 0.0000 0.0000 x2  2 Si 2.38, 4 Tc 2.56
Si1 0.0000 0.5000 0.2750 x2  2 Cu 2.38, 6 Tc 2.48-2.55
Tc1 0.0000 0.0000 0.5339 x2  2 Si 2.48, 4 Cu 2.56, 2 Tc 2.65
Tc2 0.0000 0.5000 0.7677 x2  4 Si 2.55, 4 Tc 2.65-2.84, 4 Cu 2.66-2.83



This record from Alexandria describes Ag2PtI at its PBEsol-relaxed geometry. The functional is meta-GGA SCAN.

Energy relative to the elements, uncorrected ... 0.540 eV/atom
Total moment ... 0.000 μB per atom

Cell lengths 6.7507, 6.7507, 6.7507 Å; angles 90.00, 90.00, 90.00 degrees
Closest atoms and distances in Å follow each position.
Space group Fm-3m (No. 225)
Inequivalent atoms, fractional coordinates:
Ag1 0.2500 0.2500 0.2500 x8  4 I 2.92, 4 Pt 2.92
Pt1 0.0000 0.0000 0.0000 x4  8 Ag 2.92
I1 0.0000 0.0000 0.5000 x4  8 Ag 2.92



This record from Alexandria describes BaLaMg2 at its PBEsol-relaxed geometry. The functional is meta-GGA SCAN.

Total moment ... 0.029 μB per atom

Cell lengths 3.7788, 5.8112, 6.0530 Å; angles 90.00, 90.00, 90.00 degrees
Closest atoms and distances in Å follow each position.
Space group Pmm2 (No. 25)
Inequivalent atoms, fractional coordinates:
Ba1 0.0000 0.0000 0.0000 x1  8 Mg 3.53-3.61, 2 Ba 3.78, 2 La 3.80
La1 0.0000 0.5000 0.5965 x1  8 Mg 3.45-3.68, 2 La 3.78, 2 Ba 3.80
Mg1 0.5000 0.0000 0.4917 x1  4 La 3.52, 4 Ba 3.53-3.61, 4 Mg 3.68-3.78
Mg2 0.5000 0.5000 0.1192 x1  4 La 3.45-3.68, 4 Ba 3.54, 4 Mg 3.68-3.78



This record from Alexandria describes Zr2Mo at its PBEsol-relaxed geometry. The functional is meta-GGA SCAN.

Energy relative to the lowest polymorph listed for this composition ... 5.7 meV per atom
Total moment ... 0.000 μB per atom

Cell lengths 10.6814, 3.3477, 3.3515 Å; angles 90.00, 104.23, 90.00 degrees
Closest atoms and distances in Å follow each position.
Space group C2/m (No. 12)
Inequivalent atoms, fractional coordinates:
Zr1 0.1512 0.0000 0.1685 x4  4 Mo 2.74-2.94
Mo1 0.0000 0.5000 0.5000 x2  8 Zr 2.74-2.94



This record from Alexandria describes LiSbPb2 at its PBEsol-relaxed geometry. The functional is meta-GGA SCAN.

Energy relative to the elements, uncorrected ... -0.126 eV/atom
Total moment ... 0.000 μB per atom

Cell lengths 3.7841, 3.7841, 7.2378 Å; angles 90.00, 90.00, 90.00 degrees
Closest atoms and distances in Å follow each position.
Space group P4mm (No. 99)
Inequivalent atoms, fractional coordinates:
Li1 0.0000 0.0000 0.0000 x1  4 Sb 2.99, 5 Pb 3.23-3.25
Sb1 0.5000 0.5000 0.8168 x1  4 Li 2.99, 5 Pb 3.16-3.29
Pb1 0.0000 0.0000 0.5532 x1  1 Li 3.23, 4 Sb 3.29, 4 Pb 3.44
Pb2 0.5000 0.5000 0.2539 x1  1 Sb 3.16, 4 Li 3.25, 4 Pb 3.44



This record from Alexandria describes KNaSr3 at its PBEsol-relaxed geometry. The functional is meta-GGA SCAN.

Total moment ... 0.045 μB per atom

Cell lengths 7.0328, 7.0328, 7.0328 Å; angles 90.00, 90.00, 90.00 degrees
Closest atoms and distances in Å follow each position.
Space group Pm-3m (No. 221)
Inequivalent atoms, fractional coordinates:
K1 0.0000 0.0000 0.0000 x1  6 Sr 3.52
Na1 0.5000 0.5000 0.5000 x1  12 Sr 4.97
Sr1 0.0000 0.0000 0.5000 x3  2 K 3.52



This record from Alexandria describes SrSn3Sb4 at its PBEsol-relaxed geometry. The functional is meta-GGA SCAN.

Energy relative to the elements, uncorrected ... -0.274 eV/atom
Total moment ... 0.000 μB per atom

Cell lengths 9.9536, 4.3817, 22.6670 Å; angles 90.00, 90.00, 90.00 degrees
Closest atoms and distances in Å follow each position.
Space group Pnma (No. 62)
Inequivalent atoms, fractional coordinates:
Sr1 0.0655 0.2500 0.1296 x4  8 Sb 3.30-3.61, 1 Sn 3.48
Sn1 0.0491 0.7500 0.3513 x4  4 Sb 2.80-2.84
Sn2 0.1436 0.7500 0.5095 x4  3 Sb 2.94-2.96
Sn3 0.2193 0.7500 0.7507 x4  3 Sb 2.94-2.97
Sb1 0.0266 0.2500 0.7686 x4  3 Sn 2.82-2.94
Sb2 0.0723 0.2500 0.9702 x4  2 Sb 2.95, 1 Sn 2.96
Sb3 0.2012 0.2500 0.5922 x4  3 Sn 2.80-2.94
Sb4 0.2193 0.2500 0.3790 x4  3 Sn 2.84-2.97



This record from Alexandria describes Sc7Zn at its PBEsol-relaxed geometry. The functional is meta-GGA SCAN.

Total moment ... 0.000 μB per atom

Cell lengths 8.9106, 8.9106, 8.9106 Å; angles 90.00, 90.00, 90.00 degrees
Closest atoms and distances in Å follow each position.
Space group Fm-3m (No. 225)
Inequivalent atoms, fractional coordinates:
Sc1 0.0000 0.0000 0.0000 x4  12 Sc 3.15
Sc2 0.0000 0.2500 0.2500 x24  10 Sc 3.15, 2 Zn 3.15
Zn1 0.0000 0.0000 0.5000 x4  12 Sc 3.15



This record from Alexandria describes Cs2RbRuF6 at its PBEsol-relaxed geometry. The functional is meta-GGA SCAN.

Energy relative to the elements, uncorrected ... -2.580 eV/atom
Total moment ... 0.100 μB per atom

Cell lengths 9.2151, 9.2151, 9.2151 Å; angles 90.00, 90.00, 90.00 degrees
Closest atoms and distances in Å follow each position.
Space group Fm-3m (No. 225)
Inequivalent atoms, fractional coordinates:
Cs1 0.2500 0.2500 0.2500 x8  12 F 3.27
Rb1 0.0000 0.0000 0.0000 x4  6 F 2.61
Ru1 0.0000 0.0000 0.5000 x4  6 F 2.00
F1 0.0000 0.0000 0.2835 x24  1 Ru 2.00



This record from Alexandria describes ZnCo2Mo at its PBEsol-relaxed geometry. The functional is meta-GGA SCAN.

Total moment ... 0.559 μB per atom

Cell lengths 4.1953, 4.1953, 2.7511 Å; angles 90.00, 90.00, 90.00 degrees
Closest atoms and distances in Å follow each position.
Space group P4/mmm (No. 123)
Inequivalent atoms, fractional coordinates:
Zn1 0.0000 0.0000 0.0000 x1  8 Co 2.51, 2 Zn 2.75
Co1 0.0000 0.5000 0.5000 x2  4 Mo 2.51, 4 Zn 2.51, 2 Co 2.75
Mo1 0.5000 0.5000 0.0000 x1  8 Co 2.51, 2 Mo 2.75



This record from Alexandria describes Li3TlAu at its PBEsol-relaxed geometry. The functional is meta-GGA SCAN.

Total moment ... 0.000 μB per atom

Cell lengths 4.7911, 4.7911, 4.7911 Å; angles 90.00, 90.00, 90.00 degrees
Closest atoms and distances in Å follow each position.
Space group Pm-3m (No. 221)
Inequivalent atoms, fractional coordinates:
Li1 0.0000 0.0000 0.5000 x3  2 Au 2.40
Tl1 0.5000 0.5000 0.5000 x1  12 Li 3.39
Au1 0.0000 0.0000 0.0000 x1  6 Li 2.40



This record from Alexandria describes ScCu3 at its PBEsol-relaxed geometry. The functional is meta-GGA SCAN.

Total moment ... 0.000 μB per atom

Cell lengths 3.8479, 3.8479, 7.3430 Å; angles 90.00, 90.00, 90.00 degrees
Closest atoms and distances in Å follow each position.
Space group I4/mmm (No. 139)
Inequivalent atoms, fractional coordinates:
Sc1 0.0000 0.0000 0.0000 x2  12 Cu 2.66-2.72
Cu1 0.0000 0.0000 0.5000 x2  8 Cu 2.66, 4 Sc 2.72
Cu2 0.0000 0.5000 0.2500 x4  4 Sc 2.66, 8 Cu 2.66-2.72



This record from Alexandria describes Y2MgGa2 at its PBEsol-relaxed geometry. The functional is meta-GGA SCAN.

Total moment ... 0.000 μB per atom

Cell lengths 7.2988, 7.2988, 4.2422 Å; angles 90.00, 90.00, 90.00 degrees
Closest atoms and distances in Å follow each position.
Space group P4/mbm (No. 127)
Inequivalent atoms, fractional coordinates:
Y1 0.1729 0.3271 0.0000 x4  6 Ga 2.98-3.06
Mg1 0.0000 0.0000 0.5000 x2  4 Ga 2.89
Ga1 0.1249 0.6249 0.5000 x4  1 Ga 2.58, 2 Mg 2.89



This record from Alexandria describes Be3BrN at its PBEsol-relaxed geometry. The functional is meta-GGA SCAN.

Energy relative to the elements, uncorrected ... 2.426 eV/atom
Total moment ... 0.317 μB per atom

Cell lengths 4.2134, 4.2134, 4.2134 Å; angles 90.00, 90.00, 90.00 degrees
Closest atoms and distances in Å follow each position.
Space group Pm-3m (No. 221)
Inequivalent atoms, fractional coordinates:
Be1 0.0000 0.0000 0.5000 x3  2 Br 2.11
Br1 0.0000 0.0000 0.0000 x1  6 Be 2.11
N1 0.5000 0.5000 0.5000 x1  12 Be 2.98



This record from Alexandria describes SrMo2As2O12 at its PBEsol-relaxed geometry. The functional is meta-GGA SCAN.

Energy relative to the elements, uncorrected ... -1.978 eV/atom
Total moment ... 0.000 μB per atom

Cell lengths 6.5959, 6.8462, 10.5650 Å; angles 90.00, 91.29, 90.00 degrees
Closest atoms and distances in Å follow each position.
Space group P2_1/c (No. 14)
Inequivalent atoms, fractional coordinates:
Sr1 0.0000 0.0000 0.0000 x2  8 O 2.55-2.79
Mo1 0.2492 0.0471 0.6635 x4  2 O 1.70-1.72
As1 0.2430 0.0409 0.3457 x4  4 O 1.70-1.72
O1 0.0479 0.6251 0.8425 x4  1 As 1.72
O2 0.2077 0.6776 0.0956 x4  1 Mo 1.72
O3 0.2251 0.1888 0.4742 x4  1 As 1.70
O4 0.2420 0.1454 0.1990 x4  1 As 1.71
O5 0.2513 0.5079 0.3207 x4  1 Mo 1.70
O6 0.4651 0.5901 0.8604 x4  1 As 1.72



no.,calculated total energy (eV/atom)
1,-26.584
2,-25.903
3,-57.484
4,-19.253
5,-31.749
6,-23.972
7,-41.877
8,-23.183
9,-32.085
10,-47.929
11,-15.248
12,-35.159
13,-14.128
14,-17.823
15,-20.606
16,-29.981
17,-15.146
18,-19.340
19,-5.936
20,-14.167